Material: TaV2ZnH
Method: DFT, PBE
State: optimized geometry

a = 3.8345 Å, b = 3.8345 Å, c = 4.1682 Å
α = 90.00°, β = 90.00°, γ = 90.00°
Positions (direct):
1 Ta 0.0000 0.0000 0.0000
2 V 0.0000 0.5000 0.5000
3 V 0.5000 0.0000 0.5000
4 Zn 0.5000 0.5000 0.0000
5 H 0.0000 0.0000 0.5000

E_tot (Ry/atom): -0.5111